[1]
The following is a PBE calculation of an optimized crystal structure of SrInNi2, from Alexandria via LeMat-Bulk.

```
data_SrInNi2
_cell_length_a 4.006
_cell_length_b 4.026
_cell_length_c 10.225
_cell_angle_alpha 90.00
_cell_angle_beta 90.00
_cell_angle_gamma 90.00
_space_group_name_H-M_alt 'A m m 2'
_space_group_IT_number 38
loop_
_space_group_symop_operation_xyz
'x,y,z'
'-x,-y,z'
'-x,y,z'
'x,-y,z'
'x,y+1/2,z+1/2'
'-x,-y+1/2,z+1/2'
'-x,y+1/2,z+1/2'
'x,-y+1/2,z+1/2'
loop_
_atom_site_label
_atom_site_type_symbol
_atom_site_fract_x
_atom_site_fract_y
_atom_site_fract_z
Sr1 Sr 0.000 0.000 0.000
In1 In 0.500 0.000 0.290
Ni1 Ni 0.000 0.000 0.722
Ni2 Ni 0.500 0.000 0.605
```

Calculated total energy ... -32.38 eV/cell
Crystal system ... orthorhombic
Energy of formation from the pure elements ... -0.052 eV/atom



[2]
The following is a PBE calculation of an optimized crystal structure of SrIn9Ni2, from Alexandria via LeMat-Bulk.

```
data_SrIn9Ni2
_cell_length_a 11.821
_cell_length_b 11.821
_cell_length_c 8.301
_cell_angle_alpha 90.00
_cell_angle_beta 90.00
_cell_angle_gamma 90.00
_space_group_name_H-M_alt 'I 41/a m d'
_space_group_IT_number 141
loop_
_space_group_symop_operation_xyz
'x,y,z'
'-x,-y,-z'
'-y+1/4,x+3/4,z+1/4'
'y+1/4,-x+3/4,-z+1/4'
'-x+1/2,-y,z+1/2'
'x+1/2,y,-z+1/2'
'y+1/4,-x+1/4,z+3/4'
'-y+1/4,x+1/4,-z+3/4'
'x,-y,-z'
'-x,y,z'
'-y+1/4,-x+1/4,-z+3/4'
'y+1/4,x+1/4,z+3/4'
'-x+1/2,y,-z+1/2'
'x+1/2,-y,z+1/2'
'y+1/4,x+3/4,-z+1/4'
'-y+1/4,-x+3/4,z+1/4'
'x+1/2,y+1/2,z+1/2'
'-x+1/2,-y+1/2,-z+1/2'
'-y+3/4,x+1/4,z+3/4'
'y+3/4,-x+1/4,-z+3/4'
'-x,-y+1/2,z'
'x,y+1/2,-z'
'y+3/4,-x+3/4,z+1/4'
'-y+3/4,x+3/4,-z+1/4'
'x+1/2,-y+1/2,-z+1/2'
'-x+1/2,y+1/2,z+1/2'
'-y+3/4,-x+3/4,-z+1/4'
'y+3/4,x+3/4,z+1/4'
'-x,y+1/2,-z'
'x,-y+1/2,z'
'y+3/4,x+1/4,-z+3/4'
'-y+3/4,-x+1/4,z+3/4'
loop_
_atom_site_label
_atom_site_type_symbol
_atom_site_fract_x
_atom_site_fract_y
_atom_site_fract_z
Sr1 Sr 0.000 0.250 0.375
In1 In 0.000 0.250 0.875
In2 In 0.124 0.061 0.680
Ni1 Ni 0.000 0.000 0.000
```

Calculated total energy ... -154.00 eV/cell
Crystal system ... tetragonal
Energy of formation from the pure elements ... -0.051 eV/atom



[3]
The following is a PBE calculation of an optimized crystal structure of SrIn2Ni, from Alexandria via LeMat-Bulk.

```
data_SrIn2Ni
_cell_length_a 5.130
_cell_length_b 5.130
_cell_length_c 7.187
_cell_angle_alpha 90.00
_cell_angle_beta 90.00
_cell_angle_gamma 90.00
_space_group_name_H-M_alt 'I -4 m 2'
_space_group_IT_number 119
_space_group_name_Hall 'I -4 -2'
loop_
_atom_site_label
_atom_site_type_symbol
_atom_site_fract_x
_atom_site_fract_y
_atom_site_fract_z
Sr1 Sr 0.000 0.000 0.000
In1 In 0.000 0.000 0.500
In2 In 0.000 0.500 0.250
Ni1 Ni 0.000 0.500 0.750
```

Calculated total energy ... -25.82 eV/cell
Crystal system ... tetragonal
Energy of formation from the pure elements ... 0.007 eV/atom